No. 1
Below is AcSnGePt after structural relaxation, with properties calculated at the PBE level.

abc: 5.165 5.165 5.165
angles: 60.00 60.00 60.00
Fractional coordinates of all 4 atoms:
1 Ge 0.250 0.250 0.250
2 Ac 0.000 0.000 0.000
3 Sn 0.500 0.500 0.500
4 Pt 0.750 0.750 0.750

Results
Total magnetic moment   0.0 μB per formula unit
ΔH_f (0 K)   -0.486 eV/atom
Energy   -5.178 eV/atom
Symmetry   No. 216



No. 2
Below is Ba2PtSe after structural relaxation, with properties calculated at the PBE level.

abc: 3.946 3.944 8.826
angles: 63.45 90.00 90.00
Fractional coordinates of all 4 atoms:
1 Ba 0.000 0.999 0.001
2 Ba 0.000 0.501 0.499
3 Se 0.500 0.750 0.750
4 Pt 0.500 0.250 0.250

Results
Total magnetic moment   0.0 μB per formula unit
Energy   -4.575 eV/atom
ΔE_f (raw)   -4.93 eV/f.u.
Symmetry   No. 123



No. 3
Below is CePuIrRh after structural relaxation, with properties calculated at the PBE level.

abc: 4.889 4.889 4.889
angles: 60.00 60.00 60.00
Site moments in Bohr magnetons follow the coordinates.
Fractional coordinates of all 4 atoms:
1 Rh 0.250 0.250 0.250  -0.26
2 Ce 0.000 0.000 0.000  0.52
3 Pu 0.500 0.500 0.500  5.04
4 Ir 0.750 0.750 0.750  -0.25

Results
Total magnetic moment   5.4 μB per formula unit
ΔH_f (0 K)   -0.570 eV/atom
Energy   -9.689 eV/atom
E above lowest polymorph   6.94 kJ per mole of atoms
Symmetry   No. 216



No. 4
Below is YBi3Ru4O14 after structural relaxation, with properties calculated at the PBE level.

abc: 7.333 7.333 7.333
angles: 59.82 59.82 59.82
Fractional coordinates of all 22 atoms:
1 O 0.670 0.079 0.670
2 O 0.921 0.921 0.329
3 O 0.621 0.621 0.621
4 O 0.921 0.329 0.921
5 O 0.329 0.921 0.921
6 O 0.671 0.079 0.079
7 O 0.079 0.079 0.671
8 O 0.330 0.330 0.921
9 O 0.079 0.670 0.670
10 O 0.330 0.921 0.330
11 O 0.079 0.671 0.079
12 O 0.379 0.379 0.379
13 O 0.670 0.670 0.079
14 O 0.921 0.330 0.330
15 Bi 0.500 0.500 0.000
16 Bi 0.500 0.000 0.500
17 Bi 0.000 0.500 0.500
18 Ru 0.000 0.500 0.000
19 Ru 0.000 0.000 0.500
20 Ru 0.500 0.000 0.000
21 Ru 0.000 0.000 0.000
22 Y 0.500 0.500 0.500

Results
Total magnetic moment   0.0 μB per formula unit
Energy   -7.025 eV/atom
ΔE_f (raw)   -29.93 eV/f.u.
Symmetry   No. 166



No. 5
Below is MnBeSe2 after structural relaxation, with properties calculated at the PBE level.

abc: 6.940 6.940 6.940
angles: 32.39 32.39 32.39
Site moments in Bohr magnetons follow the coordinates.
Fractional coordinates of all 4 atoms:
1 Se 0.132 0.132 0.132  0.02
2 Se 0.614 0.614 0.614  0.12
3 Be 0.501 0.501 0.501  0.03
4 Mn 0.004 0.004 0.004  4.26

Results
Total magnetic moment   5.0 μB per formula unit
Energy   -5.479 eV/atom
ΔE_f (raw)   -2.05 eV/f.u.
Symmetry   No. 160



No. 6
Below is CaAsHRu after structural relaxation, with properties calculated at the PBE level.

abc: 4.087 4.087 7.742
angles: 90.00 90.00 90.00
Fractional coordinates of all 8 atoms:
1 Ru 0.500 0.500 0.000
2 Ru 0.000 0.000 0.000
3 As 0.000 0.500 0.826
4 As 0.500 0.000 0.174
5 Ca 0.000 0.500 0.354
6 Ca 0.500 0.000 0.646
7 H 0.500 0.500 0.500
8 H 0.000 0.000 0.500

Results
Total magnetic moment   0.0 μB per formula unit
Energy   -5.501 eV/atom
Symmetry   No. 129



Which value of total magnetic moment does entry 5 give? 5.0 μB per formula unit